## AcGeRuO (GGA-PBE)

Data for an optimized crystal structure of AcGeRuO. Values from VASP.

Properties
N(E_F) = 5.126 states/eV/cell
SG = P4/nmm, No. 129
Size of the total moment = 0.00 μB per formula unit
V = 80.8 Å³/f.u.

The structure in Quantum ESPRESSO input format:
```
&SYSTEM
  ibrav = 0, nat = 8, ntyp = 4
/
ATOMIC_SPECIES
Ac 227.00 Ac.upf
Ge 72.64 Ge.upf
Ru 101.07 Ru.upf
O 16.00 O.upf
ATOMIC_POSITIONS crystal
Ac 0.5000 0.0000 0.6450
Ac 0.0000 0.5000 0.3550
Ge 0.0000 0.5000 0.8781
Ge 0.5000 0.0000 0.1219
Ru 0.5000 0.5000 0.0000
Ru 0.0000 0.0000 0.0000
O 0.0000 0.0000 0.5000
O 0.5000 0.5000 0.5000
CELL_PARAMETERS angstrom
4.3811 0.0000 0.0000
0.0000 4.3811 0.0000
0.0000 0.0000 8.4220
```


## AcGeSO2 (GGA-PBE)

Data for an optimized crystal structure of AcGeSO2. Values from VASP.

Properties
N(E_F) = 3.201 states/eV/cell
SG = Cmcm, No. 63
Size of the total moment = 0.00 μB per formula unit
V = 92.1 Å³/f.u.

The structure in Quantum ESPRESSO input format:
```
&SYSTEM
  ibrav = 0, nat = 10, ntyp = 4
/
ATOMIC_SPECIES
Ac 227.00 Ac.upf
Ge 72.64 Ge.upf
S 32.06 S.upf
O 16.00 O.upf
ATOMIC_POSITIONS crystal
Ac 0.2500 0.6400 0.2801
Ac 0.7500 0.3600 0.7199
Ge 0.2500 0.9449 0.8897
Ge 0.7500 0.0551 0.1103
S 0.7500 0.7534 0.5067
S 0.2500 0.2466 0.4933
O 0.5000 0.2232 0.0000
O 0.0000 0.7768 0.0000
O 0.5000 0.7768 0.0000
O 0.0000 0.2232 0.0000
CELL_PARAMETERS angstrom
-3.9240 2.5681 2.5429
-3.1517 -0.3496 -4.5104
-0.7011 -5.2998 4.2705
```


no.,uncorrected energy (eV/atom)
1,-7.416
2,-6.508